Entry 1:
Density functional theory data (GGA-PBE) for ReSiSbOs2 after structural relaxation.

Summary:
E: -6.0943 eV/atom
E_form (uncorrected): 2.80 eV per atom

a b c (Å): 4.796 4.796 4.864
angles (deg): 90.00 90.00 90.00
Positions (direct):
Re 0.000 0.000 0.000
Si 0.500 0.500 0.000
Sb 0.500 0.500 0.500
Os 0.000 0.500 0.500
Os 0.500 0.000 0.500



Entry 2:
Density functional theory data (GGA-PBE) for ReSb2TeOs after structural relaxation.

Summary:
E: -5.3659 eV/atom
Polymorph energy (0 for the lowest one): 0.22 eV/f.u.
E_form (uncorrected): 1.65 eV per atom

a b c (Å): 5.084 5.084 5.106
angles (deg): 90.00 90.00 90.00
Positions (direct):
Re 0.000 0.000 0.000
Sb 0.000 0.500 0.000
Sb 0.500 0.000 0.000
Te 0.000 0.000 0.500
Os 0.500 0.500 0.500